1.
DFT (GGA-PBE) results for crystalline ZnGa2Tc2 at its relaxed geometry.

Computed properties:
Energy above the most stable polymorph in this dataset   0.10 eV/f.u.
Electronic total energy   -5.60 eV/atom
N(E_F)   0.5 states/eV/cell
Space-group type   P4/mbm

Unit cell a=6.571 b=6.571 c=3.424 alpha=90.00 beta=90.00 gamma=90.00
Atoms (fractional coordinates):
Zn  0.000  0.000  0.000
Zn  0.500  0.500  0.000
Ga  0.134  0.366  0.000
Ga  0.366  0.866  0.000
Ga  0.634  0.134  0.000
Ga  0.866  0.634  0.000
Tc  0.167  0.667  0.500
Tc  0.333  0.167  0.500
Tc  0.667  0.833  0.500
Tc  0.833  0.333  0.500

=====

2.
DFT (GGA-PBE) results for crystalline ZnGa2Tc at its relaxed geometry.

Computed properties:
Electronic total energy   -4.41 eV/atom
N(E_F)   2.7 states/eV/cell
Space-group type   P1

Unit cell a=2.879 b=2.893 c=8.556 alpha=96.17 beta=94.57 gamma=115.65
Atoms (fractional coordinates):
Zn  0.000  0.000  0.000
Ga  0.355  0.937  0.273
Ga  0.564  0.192  0.747
Tc  0.809  0.712  0.511

=====

3.
DFT (GGA-PBE) results for crystalline Zn4Ga3Tc at its relaxed geometry.

Computed properties:
Electronic total energy   -3.08 eV/atom
N(E_F)   6.0 states/eV/cell
Space-group type   Pmn2_1

Unit cell a=7.073 b=6.659 c=5.498 alpha=90.00 beta=90.00 gamma=90.00
Atoms (fractional coordinates):
Zn  0.000  0.051  0.000
Zn  0.000  0.406  0.235
Zn  0.186  0.705  0.488
Zn  0.314  0.295  0.988
Zn  0.500  0.594  0.735
Zn  0.500  0.949  0.500
Zn  0.686  0.295  0.988
Zn  0.814  0.705  0.488
Ga  0.000  0.050  0.521
Ga  0.188  0.696  0.984
Ga  0.312  0.304  0.484
Ga  0.500  0.950  0.021
Ga  0.688  0.304  0.484
Ga  0.812  0.696  0.984
Tc  0.000  0.398  0.736
Tc  0.500  0.602  0.236

=====

4.
DFT (GGA-PBE) results for crystalline ZnGa4Tc at its relaxed geometry.

Computed properties:
Electronic total energy   -4.01 eV/atom
N(E_F)   3.9 states/eV/cell
Space-group type   C2/c

Unit cell a=6.373 b=6.373 c=5.067 alpha=90.80 beta=90.80 gamma=90.00
Atoms (fractional coordinates):
Zn  0.003  0.997  0.750
Zn  0.997  0.003  0.250
Ga  0.159  0.364  0.992
Ga  0.160  0.637  0.496
Ga  0.363  0.840  0.004
Ga  0.364  0.159  0.492
Ga  0.636  0.841  0.508
Ga  0.637  0.160  0.996
Ga  0.840  0.363  0.504
Ga  0.841  0.636  0.008
Tc  0.500  0.500  0.250
Tc  0.500  0.500  0.750

=====

5.
DFT (GGA-PBE) results for crystalline Zn2Ga5Tc2 at its relaxed geometry.

Computed properties:
Electronic total energy   -4.28 eV/atom
N(E_F)   9.3 states/eV/cell
Space-group type   Ima2

Unit cell a=8.713 b=8.713 c=8.713 alpha=69.41 beta=145.15 gamma=122.07
Atoms (fractional coordinates):
Zn  0.000  0.000  0.000
Zn  0.000  0.500  0.500
Zn  0.213  0.251  0.462
Zn  0.788  0.751  0.538
Ga  0.000  0.106  0.605
Ga  0.000  0.895  0.394
Ga  0.001  0.337  0.837
Ga  0.001  0.663  0.164
Ga  0.274  0.750  0.024
Ga  0.499  0.163  0.163
Ga  0.499  0.837  0.836
Ga  0.501  0.395  0.395
Ga  0.501  0.606  0.606
Ga  0.726  0.250  0.976
Tc  0.491  0.082  0.573
Tc  0.491  0.418  0.909
Tc  0.509  0.582  0.091
Tc  0.509  0.918  0.427

=====

6.
DFT (GGA-PBE) results for crystalline Zn3Ga6Tc at its relaxed geometry.

Computed properties:
Electronic total energy   -3.19 eV/atom
N(E_F)   3.5 states/eV/cell
Space-group type   C2/m

Unit cell a=4.993 b=4.993 c=7.009 alpha=94.85 beta=94.85 gamma=93.77
Atoms (fractional coordinates):
Zn  0.000  0.000  0.000
Zn  0.230  0.230  0.748
Zn  0.770  0.770  0.252
Ga  0.058  0.691  0.648
Ga  0.309  0.942  0.352
Ga  0.372  0.372  0.130
Ga  0.628  0.628  0.870
Ga  0.691  0.058  0.648
Ga  0.942  0.309  0.352
Tc  0.500  0.500  0.500

=====

7.
DFT (GGA-PBE) results for crystalline ZnGaTc at its relaxed geometry.

Computed properties:
Energy above the most stable polymorph in this dataset   0.70 eV/f.u.
Electronic total energy   -4.69 eV/atom
N(E_F)   2.5 states/eV/cell
Space-group type   P-6m2

Unit cell a=4.402 b=4.402 c=2.689 alpha=90.00 beta=90.00 gamma=120.00
Atoms (fractional coordinates):
Zn  0.000  0.000  0.000
Ga  0.333  0.667  0.500
Tc  0.667  0.333  0.000

=====

8.
DFT (GGA-PBE) results for crystalline Zn3Ga3Tc at its relaxed geometry.

Computed properties:
Electronic total energy   -3.36 eV/atom
N(E_F)   5.1 states/eV/cell
Space-group type   P6_3/m

Unit cell a=7.803 b=7.803 c=4.078 alpha=90.00 beta=90.00 gamma=120.00
Atoms (fractional coordinates):
Zn  0.095  0.245  0.250
Zn  0.150  0.905  0.250
Zn  0.245  0.150  0.750
Zn  0.755  0.850  0.250
Zn  0.850  0.095  0.750
Zn  0.905  0.755  0.750
Ga  0.094  0.475  0.750
Ga  0.381  0.906  0.750
Ga  0.475  0.381  0.250
Ga  0.525  0.619  0.750
Ga  0.619  0.094  0.250
Ga  0.906  0.525  0.250
Tc  0.333  0.667  0.250
Tc  0.667  0.333  0.750

=====

> Among the records above, which one has the highest N(E_F)?

Zn2Ga5Tc2